i.
Entry from Alexandria via LeMat-Bulk: a relaxed structure of LaHoEr6 (PBE).

The space group is R-3m (No. 166, hexagonal axes) and the conventional cell measures 8.6874, 8.6874 and 12.8923 Å, with angles of 90.00, 90.00 and 120.00 degrees. The asymmetric unit holds La at (0.0000, 0.0000, 0.0000), Ho at (0.0000, 0.0000, 0.5000) and Er at (0.0914, 0.5457, 0.3896).

ii.
Entry from Alexandria via LeMat-Bulk: a relaxed structure of LaHoEr6 (PBE).

The space group is P-1 (No. 2) and the conventional cell measures 6.509, 6.534 and 7.440 Å, with angles of 114.76, 115.20 and 90.45 degrees. The asymmetric unit holds La at (0.000, 0.000, 0.000), Ho at (0.500, 0.000, 0.000), Er at (0.237, 0.561, 0.472), Er at (0.252, 0.501, 0.998) and Er at (0.269, 0.089, 0.535).

Most stable: ii. Least stable: i.

i.
Entry from Alexandria via LeMat-Bulk: a relaxed structure of La12Ho7Er (PBE).

The space group is R-3 (No. 148, hexagonal axes) and the conventional cell measures 12.4838, 12.4838 and 15.4383 Å, with angles of 90.00, 90.00 and 120.00 degrees. The asymmetric unit holds La at (0.0133, 0.4377, 0.2202), La at (0.0666, 0.5968, 0.5778), Ho at (0.0000, 0.0000, 0.0000), Ho at (0.0507, 0.1834, 0.3085) and Er at (0.0000, 0.0000, 0.5000).

ii.
Entry from Alexandria via LeMat-Bulk: a relaxed structure of La12Ho7Er (PBE).

The space group is R-3 (No. 148, hexagonal axes) and the conventional cell measures 19.5949, 19.5949 and 6.3590 Å, with angles of 90.00, 90.00 and 120.00 degrees. The asymmetric unit holds La at (0.0001, 0.4081, 0.0013), La at (0.0973, 0.5490, 0.4761), Ho at (0.0000, 0.0000, 0.0000), Ho at (0.0825, 0.1645, 0.3036) and Er at (0.0000, 0.0000, 0.5000).

Most stable: ii. Least stable: i.

i.
Entry from Alexandria via LeMat-Bulk: a relaxed structure of LaHo3Er2 (PBE).

The space group is C2/m (No. 12) and the conventional cell measures 21.891, 3.637 and 11.334 Å, with angles of 90.00, 121.01 and 90.00 degrees. The asymmetric unit holds La at (0.110, 0.000, 0.485), Ho at (0.055, 0.500, 0.176), Ho at (0.112, 0.000, 0.987), Ho at (0.221, 0.000, 0.344), Er at (0.058, 0.500, 0.689) and Er at (0.224, 0.000, 0.852).

ii.
Entry from Alexandria via LeMat-Bulk: a relaxed structure of LaHo3Er2 (PBE).

The space group is Cmcm (No. 63) and the conventional cell measures 3.579, 18.546 and 11.550 Å, with angles of 90.00, 90.00 and 90.00 degrees. The asymmetric unit holds La at (0.000, 0.221, 0.250), Ho at (0.000, 0.108, 0.750), Ho at (0.000, 0.335, 0.004), Er at (0.000, 0.000, 0.000) and Er at (0.000, 0.446, 0.750).

Most stable: i. Least stable: ii.

i.
Entry from Alexandria via LeMat-Bulk: a relaxed structure of LaHo6Er2 (PBE).

The space group is R3m (No. 160, hexagonal axes) and the conventional cell measures 7.3056, 7.3056 and 19.0562 Å, with angles of 90.00, 90.00 and 120.00 degrees. The asymmetric unit holds La at (0.0000, 0.0000, 0.0000), Ho at (0.0146, 0.5073, 0.4505), Ho at (0.0425, 0.5212, 0.2517), Er at (0.0000, 0.0000, 0.2610) and Er at (0.0000, 0.0000, 0.4387).

ii.
Entry from Alexandria via LeMat-Bulk: a relaxed structure of LaHo6Er2 (PBE).

The space group is P-1 (No. 2) and the conventional cell measures 3.550, 6.130 and 13.733 Å, with angles of 85.62, 82.65 and 73.21 degrees. The asymmetric unit holds La at (0.000, 0.000, 0.000), Ho at (0.111, 0.223, 0.555), Ho at (0.219, 0.447, 0.114), Ho at (0.442, 0.889, 0.226) and Er at (0.335, 0.666, 0.664).

Most stable: ii. Least stable: i.

i.
Entry from Alexandria via LeMat-Bulk: a relaxed structure of La2Ho3Er (PBE).

The space group is P-1 (No. 2) and the conventional cell measures 6.213, 6.236 and 10.799 Å, with angles of 73.44, 89.80 and 80.34 degrees. The asymmetric unit holds La at (0.125, 0.250, 0.125), La at (0.375, 0.750, 0.375), Ho at (0.122, 0.250, 0.459), Ho at (0.128, 0.250, 0.791), Ho at (0.378, 0.750, 0.041) and Er at (0.372, 0.750, 0.709).

ii.
Entry from Alexandria via LeMat-Bulk: a relaxed structure of La2Ho3Er (PBE).

The space group is C2/m (No. 12) and the conventional cell measures 17.097, 5.590 and 10.225 Å, with angles of 90.00, 124.89 and 90.00 degrees. The asymmetric unit holds La at (0.012, 0.000, 0.366), La at (0.226, 0.500, 0.366), Ho at (0.051, 0.500, 0.900), Ho at (0.111, 0.000, 0.151), Ho at (0.205, 0.000, 0.922) and Er at (0.136, 0.500, 0.649).

Most stable: i. Least stable: ii.

i.
Entry from Alexandria via LeMat-Bulk: a relaxed structure of La3HoEr2 (PBE).

The space group is C2/m (No. 12) and the conventional cell measures 20.552, 3.621 and 14.910 Å, with angles of 90.00, 132.08 and 90.00 degrees. The asymmetric unit holds La at (0.070, 0.000, 0.398), La at (0.111, 0.500, 0.649), La at (0.146, 0.000, 0.896), Ho at (0.027, 0.500, 0.145), Er at (0.192, 0.500, 0.142) and Er at (0.225, 0.000, 0.373).

ii.
Entry from Alexandria via LeMat-Bulk: a relaxed structure of La3HoEr2 (PBE).

The space group is Immm (No. 71) and the conventional cell measures 3.475, 6.007 and 19.709 Å, with angles of 90.00, 90.00 and 90.00 degrees. The asymmetric unit holds La at (0.000, 0.000, 0.000), La at (0.000, 0.500, 0.187), Ho at (0.000, 0.500, 0.000) and Er at (0.000, 0.500, 0.363).

Most stable: i. Least stable: ii.